(1)
DyAuI2 | GGA-PBE | relaxed

## Properties
E_tot	-3.224	eV per atom
raw formation energy	-1.915	eV/f.u.
volume	135.5	Å³/f.u.
symmetry	R-3m, No. 166
total magnetization	0.0	Bohr magnetons per cell

Cell lengths 3.9973, 3.9973, 10.0606 Å; angles 78.54, 78.54, 60.00 degrees
Fractional coordinates of all 4 atoms:
I: 0.0974 0.0974 0.7078
I: 0.9026 0.9026 0.2922
Au: 0.0000 0.0000 0.0000
Dy: 0.5000 0.5000 0.5000

(2)
Dy2AuI | GGA-PBE | relaxed

## Properties
E_tot	-4.307	eV per atom
raw formation energy	-3.197	eV/f.u.
volume	118.3	Å³/f.u.
symmetry	R3m, No. 160
total magnetization	0.0	Bohr magnetons per cell

Cell lengths 4.1012, 4.1012, 8.4624 Å; angles 75.98, 75.98, 60.00 degrees
Fractional coordinates of all 4 atoms:
Dy: 0.0673 0.0673 0.7981
Dy: 0.2662 0.2662 0.2013
Au: 0.6677 0.6677 0.9970
I: 0.4988 0.4988 0.5035

(3)
Dy2AuI8 | GGA-PBE | relaxed

## Properties
E_tot	-3.133	eV per atom
raw formation energy	-9.584	eV/f.u.
volume	644.3	Å³/f.u.
symmetry	C2/m, No. 12
total magnetization	0.0	Bohr magnetons per cell

Cell lengths 10.7091, 9.0875, 9.0875 Å; angles 49.55, 74.79, 74.79 degrees
Fractional coordinates of all 11 atoms:
Dy: 0.6853 0.2238 0.2238
Dy: 0.3147 0.7762 0.7762
Au: 0.0000 0.0000 0.0000
I: 0.1379 0.1481 0.6339
I: 0.1379 0.6339 0.1481
I: 0.8621 0.8519 0.3661
I: 0.2812 0.6133 0.6133
I: 0.8621 0.3661 0.8519
I: 0.4215 0.2085 0.2085
I: 0.5785 0.7915 0.7915
I: 0.7188 0.3867 0.3867

(4)
KDyAu2I6 | GGA-PBE | relaxed

## Properties
E_tot	-2.965	eV per atom
raw formation energy	-8.095	eV/f.u.
volume	444.1	Å³/f.u.
symmetry	R-3, No. 148
total magnetization	0.0	Bohr magnetons per cell

Cell lengths 7.9198, 7.9184, 9.3700 Å; angles 90.00, 115.03, 119.98 degrees
Fractional coordinates of all 10 atoms:
K: 0.9966 0.4977 0.4802
Dy: 0.9965 0.9977 0.9802
Au: 0.4683 0.7335 0.1878
Au: 0.5250 0.2623 0.7728
I: 0.5413 0.9273 0.7580
I: 0.4517 0.0682 0.2026
I: 0.8339 0.7645 0.2022
I: 0.1480 0.3824 0.2023
I: 0.8453 0.6131 0.7582
I: 0.1591 0.2309 0.7582

(5)
Dy4In3Au | GGA-PBE | relaxed

## Properties
E_tot	-4.305	eV per atom
volume	206.4	Å³/f.u.
symmetry	P4/mmm, No. 123
formation enthalpy at 0 K	-0.567	eV/atom
total magnetization	0.0	Bohr magnetons per cell

Cell lengths 3.5623, 3.5623, 16.2632 Å; angles 90.00, 90.00, 90.00 degrees
Fractional coordinates of all 8 atoms:
In: 0.5000 0.5000 0.2407
In: 0.5000 0.5000 0.5000
In: 0.5000 0.5000 0.7593
Au: 0.5000 0.5000 0.0000
Dy: 0.0000 0.0000 0.8896
Dy: 0.0000 0.0000 0.1104
Dy: 0.0000 0.0000 0.3702
Dy: 0.0000 0.0000 0.6298

(6)
Dy5In4Au | GGA-PBE | relaxed

## Properties
E_tot	-4.275	eV per atom
volume	259.7	Å³/f.u.
symmetry	P4/mmm, No. 123
formation enthalpy at 0 K	-0.551	eV/atom
total magnetization	0.0	Bohr magnetons per cell

Cell lengths 3.5827, 3.5827, 20.2320 Å; angles 90.00, 90.00, 90.00 degrees
Fractional coordinates of all 10 atoms:
Dy: 0.5000 0.5000 0.0881
Dy: 0.5000 0.5000 0.2940
Dy: 0.5000 0.5000 0.5000
Dy: 0.5000 0.5000 0.7060
Dy: 0.5000 0.5000 0.9119
In: 0.0000 0.0000 0.1918
In: 0.0000 0.0000 0.3972
In: 0.0000 0.0000 0.6028
In: 0.0000 0.0000 0.8082
Au: 0.0000 0.0000 0.0000

(7)
Dy4InAu5 | GGA-PBE | relaxed

## Properties
E_tot	-4.514	eV per atom
volume	229.3	Å³/f.u.
symmetry	P4/mmm, No. 123
formation enthalpy at 0 K	-0.760	eV/atom
total magnetization	0.0	Bohr magnetons per cell

Cell lengths 3.6011, 3.6011, 17.6808 Å; angles 90.00, 90.00, 90.00 degrees
Fractional coordinates of all 10 atoms:
Dy: 0.0000 0.0000 0.1922
Dy: 0.0000 0.0000 0.3974
Dy: 0.0000 0.0000 0.6026
Dy: 0.0000 0.0000 0.8078
In: 0.0000 0.0000 0.0000
Au: 0.5000 0.5000 0.1021
Au: 0.5000 0.5000 0.2975
Au: 0.5000 0.5000 0.5000
Au: 0.5000 0.5000 0.7025
Au: 0.5000 0.5000 0.8979

(8)
Dy2InAu2 | GGA-PBE | relaxed

## Properties
E_tot	-4.508	eV per atom
volume	118.7	Å³/f.u.
symmetry	P4/mbm, No. 127
formation enthalpy at 0 K	-0.809	eV/atom
total magnetization	0.0	Bohr magnetons per cell

Cell lengths 7.9159, 7.9159, 3.7874 Å; angles 90.00, 90.00, 90.00 degrees
Fractional coordinates of all 10 atoms:
Dy: 0.3306 0.8306 0.5000
Dy: 0.8306 0.6694 0.5000
Dy: 0.6694 0.1694 0.5000
Dy: 0.1694 0.3306 0.5000
In: 0.5000 0.5000 0.0000
In: 0.0000 0.0000 0.0000
Au: 0.1294 0.6294 0.0000
Au: 0.6294 0.8706 0.0000
Au: 0.3706 0.1294 0.0000
Au: 0.8706 0.3706 0.0000